[1]
Here is an optimized crystal structure of Ba2NaSn from the Alexandria database. Energies are from PBE.

```
Ba2NaSn
1.0
-3.784 1.271 -1.609
-2.045 -2.599 2.755
-0.350 7.057 6.399
Na Sn Ba
1 1 2
Cartesian
-3.089 2.864 3.772
-2.914 -0.664 0.573
-0.278 5.600 5.078
-0.072 1.457 1.321
```

Values from the calculation:
ΔE_f, eV per atom: -0.357

***

[2]
Here is an optimized crystal structure of BaNa2Sr2Sn2 from the Alexandria database. Energies are from PBE.

```
BaNa2Sr2Sn2
1.0
-4.485 -0.699 -3.127
0.533 -1.180 -5.358
-1.297 -10.282 -0.699
Na Ba Sr Sn
2 1 2 2
Cartesian
-2.619 -8.947 -3.960
-2.631 -3.214 -5.225
0.000 0.000 0.000
-3.944 -5.659 -7.652
-1.305 -6.502 -1.533
-3.937 -9.172 -6.877
-1.312 -2.989 -2.308
```

Values from the calculation:
ΔE_f, eV per atom: -0.424

***

Question: ΔE_f of number 1 (Ba2NaSn)?
Answer: -0.357 eV per atom

***

Question: Number 1 is which compound?
Answer: Ba2NaSn

***

Question: Which formula does entry 2 have?
Answer: BaNa2Sr2Sn2

***

Question: ΔE_f of number 1 (Ba2NaSn)?
Answer: -0.357 eV per atom